Density functional theory data (GGA-PBE) for a relaxed structure of CaCdSn2. Values from VASP.

```
&SYSTEM
  ibrav = 0, nat = 8, ntyp = 3
/
ATOMIC_SPECIES
Ca 40.08 Ca.upf
Cd 112.41 Cd.upf
Sn 118.71 Sn.upf
ATOMIC_POSITIONS angstrom
Ca 0.0000 0.0000 0.0000
Ca 0.0000 2.4715 5.0281
Cd 2.4715 0.0000 5.0281
Cd 0.0000 0.0000 10.0563
Sn 1.2358 -0.9718 7.5422
Sn 1.4997 1.2358 2.5141
Sn 1.2358 3.4434 -2.5141
Sn 0.9718 1.2358 12.5703
CELL_PARAMETERS angstrom
-2.4715 2.4715 10.0563
2.4715 -2.4715 10.0563
2.4715 2.4715 -10.0563
```

Calculated values
The value obtained for the total moment is 0.00 μB per atom. As for the crystal system: tetragonal. Its symmetry is I-42d. As for the final energy: -2.898 eV/atom.

---

Density functional theory data (GGA-PBE) for a relaxed structure of Ca2Cd16Sn. Values from VASP.

```
&SYSTEM
  ibrav = 0, nat = 19, ntyp = 3
/
ATOMIC_SPECIES
Ca 40.08 Ca.upf
Cd 112.41 Cd.upf
Sn 118.71 Sn.upf
ATOMIC_POSITIONS angstrom
Ca 0.0000 0.0000 0.0000
Ca 0.0000 0.0000 4.8637
Cd 0.0000 -2.9686 2.6627
Cd -2.5708 1.4843 2.6627
Cd -2.3713 -1.3691 7.3353
Cd 0.0000 -3.2658 7.2309
Cd -2.8282 1.6329 7.2309
Cd -1.6171 -2.7647 9.8672
Cd -3.2028 -0.0181 9.8672
Cd 2.5708 1.4843 2.6626
Cd 0.0000 0.0000 8.4767
Cd 2.3713 -1.3691 7.3353
Cd 0.0000 2.7381 7.3353
Cd 1.6171 -2.7647 9.8672
Cd -1.5857 2.7828 9.8672
Cd 2.8282 1.6329 7.2309
Cd 3.2028 -0.0181 9.8672
Cd 1.5857 2.7828 9.8672
Sn 0.0000 0.0000 11.4392
CELL_PARAMETERS angstrom
5.1521 2.9745 4.9509
-5.1521 2.9745 4.9509
0.0000 -5.9491 4.9509
```

Calculated values
The value obtained for the total moment is 0.00 μB per atom. As for the crystal system: trigonal. Its symmetry is R3m. As for the final energy: -1.318 eV/atom.

---

Density functional theory data (GGA-PBE) for a relaxed structure of Ca3Cd4Sn2. Values from VASP.

```
&SYSTEM
  ibrav = 0, nat = 9, ntyp = 3
/
ATOMIC_SPECIES
Ca 40.08 Ca.upf
Cd 112.41 Cd.upf
Sn 118.71 Sn.upf
ATOMIC_POSITIONS angstrom
Ca 0.0000 0.0000 0.0000
Ca 2.3857 0.0000 2.7825
Ca 4.5991 0.0000 5.7338
Cd -0.8602 0.0000 3.5874
Cd -0.8062 0.0000 8.2564
Cd 7.7909 0.0000 0.2599
Cd 7.8449 0.0000 4.9288
Sn 1.2857 0.0000 6.1878
Sn 5.6991 0.0000 2.3285
CELL_PARAMETERS angstrom
5.6238 -2.4933 0.0000
5.6238 2.4933 0.0000
-4.2628 0.0000 8.5163
```

Calculated values
The value obtained for the total moment is 0.00 μB per atom. As for the crystal system: monoclinic. Its symmetry is C2/m. As for the final energy: -2.409 eV/atom.

---

Density functional theory data (GGA-PBE) for a relaxed structure of CaCd2Sn. Values from VASP.

```
&SYSTEM
  ibrav = 0, nat = 4, ntyp = 3
/
ATOMIC_SPECIES
Ca 40.08 Ca.upf
Cd 112.41 Cd.upf
Sn 118.71 Sn.upf
ATOMIC_POSITIONS angstrom
Ca 0.0000 0.0000 0.0000
Cd 0.0000 0.0000 3.1698
Cd 0.0000 0.0000 30.9129
Sn 0.0000 0.0000 17.0413
CELL_PARAMETERS angstrom
1.7366 1.0026 11.3609
-1.7366 1.0026 11.3609
0.0000 -2.0053 11.3609
```

Calculated values
The value obtained for the total moment is 0.00 μB per atom. As for the crystal system: trigonal. Its symmetry is R-3m. As for the final energy: -1.796 eV/atom.

---

Density functional theory data (GGA-PBE) for a relaxed structure of Ca4CdSn. Values from VASP.

```
&SYSTEM
  ibrav = 0, nat = 6, ntyp = 3
/
ATOMIC_SPECIES
Ca 40.08 Ca.upf
Cd 112.41 Cd.upf
Sn 118.71 Sn.upf
ATOMIC_POSITIONS angstrom
Ca 0.0000 2.6424 1.9027
Ca 0.0000 2.6424 5.9482
Ca 2.6424 0.0000 1.9027
Ca 2.6424 0.0000 5.9482
Cd 0.0000 0.0000 3.9255
Sn 2.6424 2.6424 0.0000
CELL_PARAMETERS angstrom
5.2848 0.0000 0.0000
0.0000 5.2848 0.0000
0.0000 0.0000 7.8509
```

Calculated values
The value obtained for the total moment is 0.00 μB per atom. As for the crystal system: tetragonal. Its symmetry is P4/mmm. As for the final energy: -2.481 eV/atom.

---

Density functional theory data (GGA-PBE) for a relaxed structure of Ca2Cd2Sn. Values from VASP.

```
&SYSTEM
  ibrav = 0, nat = 10, ntyp = 3
/
ATOMIC_SPECIES
Ca 40.08 Ca.upf
Cd 112.41 Cd.upf
Sn 118.71 Sn.upf
ATOMIC_POSITIONS angstrom
Ca 0.1970 0.0000 3.6540
Ca 1.9070 0.0000 0.1846
Ca 7.7689 0.0000 9.0888
Ca 9.4789 0.0000 5.6194
Cd 4.1070 0.0000 3.3173
Cd 3.3475 0.0000 7.8579
Cd 6.3283 0.0000 1.4155
Cd 5.5689 0.0000 5.9561
Sn 0.5525 0.0000 6.8418
Sn 9.1234 0.0000 2.4317
CELL_PARAMETERS angstrom
6.5401 -2.3507 0.0000
6.5401 2.3507 0.0000
-3.4045 0.0000 9.2734
```

Calculated values
The value obtained for the total moment is 0.00 μB per atom. As for the crystal system: monoclinic. Its symmetry is C2/m. As for the final energy: -2.381 eV/atom.

---

Density functional theory data (GGA-PBE) for a relaxed structure of Ca2Cd8Sn. Values from VASP.

```
&SYSTEM
  ibrav = 0, nat = 11, ntyp = 3
/
ATOMIC_SPECIES
Ca 40.08 Ca.upf
Cd 112.41 Cd.upf
Sn 118.71 Sn.upf
ATOMIC_POSITIONS angstrom
Ca 4.1971 4.9974 0.0000
Ca 4.1971 -4.9974 0.0000
Cd -2.4838 0.0000 3.2993
Cd -0.3699 2.0901 3.1957
Cd 2.4496 3.1546 2.1106
Cd -0.3699 -2.0901 3.1957
Cd 5.2691 2.0901 1.0256
Cd 2.4496 -3.1546 2.1106
Cd 5.2691 -2.0901 1.0256
Cd 7.3830 0.0000 0.9220
Sn 2.4496 0.0000 2.1106
CELL_PARAMETERS angstrom
4.1971 -7.9956 0.0000
4.1971 7.9956 0.0000
-3.4950 0.0000 4.2213
```

Calculated values
The value obtained for the total moment is 0.00 μB per atom. As for the crystal system: monoclinic. Its symmetry is C2/m. As for the final energy: -1.523 eV/atom.

---

Density functional theory data (GGA-PBE) for a relaxed structure of Ca2CdSn. Values from VASP.

```
&SYSTEM
  ibrav = 0, nat = 4, ntyp = 3
/
ATOMIC_SPECIES
Ca 40.08 Ca.upf
Cd 112.41 Cd.upf
Sn 118.71 Sn.upf
ATOMIC_POSITIONS angstrom
Ca 0.0000 2.6212 0.0000
Ca 2.6212 0.0000 0.0000
Cd 0.0000 0.0000 2.0551
Sn 2.6212 2.6212 2.0551
CELL_PARAMETERS angstrom
5.2424 0.0000 0.0000
0.0000 5.2424 0.0000
0.0000 0.0000 4.1103
```

Calculated values
For the excess energy over the best structure of this formula in the dataset, the calculation gives 41.6 meV/atom. The value obtained for the total moment is 0.00 μB per atom. As for the crystal system: tetragonal. Its symmetry is P4/mmm.

---

Density functional theory data (GGA-PBE) for a relaxed structure of Ca2Cd2Sn. Values from VASP.

```
&SYSTEM
  ibrav = 0, nat = 10, ntyp = 3
/
ATOMIC_SPECIES
Ca 40.08 Ca.upf
Cd 112.41 Cd.upf
Sn 118.71 Sn.upf
ATOMIC_POSITIONS angstrom
Ca 1.4531 2.7374 0.0000
Ca 2.7374 6.9279 0.0000
Ca 5.6436 1.4531 0.0000
Ca 6.9279 5.6436 0.0000
Cd 1.0427 5.2333 1.9835
Cd 3.1478 1.0427 1.9835
Cd 5.2333 7.3383 1.9835
Cd 7.3383 3.1478 1.9835
Sn 0.0000 0.0000 1.9835
Sn 4.1905 4.1905 1.9835
CELL_PARAMETERS angstrom
8.3810 0.0000 0.0000
0.0000 8.3810 0.0000
0.0000 0.0000 3.9669
```

Calculated values
The value obtained for the total moment is 0.00 μB per atom. As for the crystal system: tetragonal. Its symmetry is P4/mbm. As for the final energy: -2.310 eV/atom.

---

Density functional theory data (GGA-PBE) for a relaxed structure of Ca3Cd2Sn4. Values from VASP.

```
&SYSTEM
  ibrav = 0, nat = 9, ntyp = 3
/
ATOMIC_SPECIES
Ca 40.08 Ca.upf
Cd 112.41 Cd.upf
Sn 118.71 Sn.upf
ATOMIC_POSITIONS angstrom
Ca 0.0000 0.0000 0.0000
Ca 3.9581 0.0000 2.6444
Ca 5.9402 0.0000 6.1198
Cd 2.1095 0.0000 5.4344
Cd 7.7887 0.0000 3.3299
Sn -0.1621 0.0000 3.3582
Sn 1.3622 0.0000 8.2217
Sn 8.5360 0.0000 0.5426
Sn 10.0603 0.0000 5.4061
CELL_PARAMETERS angstrom
6.2114 -2.3386 0.0000
6.2114 2.3386 0.0000
-2.5247 0.0000 8.7643
```

Calculated values
The value obtained for the total moment is 0.00 μB per atom. As for the crystal system: monoclinic. Its symmetry is C2/m. As for the final energy: -3.113 eV/atom.

---

Density functional theory data (GGA-PBE) for a relaxed structure of Ca3CdSn2. Values from VASP.

```
&SYSTEM
  ibrav = 0, nat = 6, ntyp = 3
/
ATOMIC_SPECIES
Ca 40.08 Ca.upf
Cd 112.41 Cd.upf
Sn 118.71 Sn.upf
ATOMIC_POSITIONS angstrom
Ca 0.0000 0.0000 0.0000
Ca 0.0000 0.0000 4.2888
Ca 0.0000 0.0000 8.3533
Cd 1.8320 1.8320 6.3211
Sn 1.8320 1.8320 2.1936
Sn 1.8320 1.8320 10.4485
CELL_PARAMETERS angstrom
3.6641 0.0000 0.0000
0.0000 3.6641 0.0000
0.0000 0.0000 12.6422
```

Calculated values
For the excess energy over the best structure of this formula in the dataset, the calculation gives 20.0 meV/atom. The value obtained for the total moment is 0.00 μB per atom. As for the crystal system: tetragonal. Its symmetry is P4/mmm.

---

Density functional theory data (GGA-PBE) for a relaxed structure of CaCd2Sn3. Values from VASP.

```
&SYSTEM
  ibrav = 0, nat = 6, ntyp = 3
/
ATOMIC_SPECIES
Ca 40.08 Ca.upf
Cd 112.41 Cd.upf
Sn 118.71 Sn.upf
ATOMIC_POSITIONS angstrom
Ca 0.0000 0.0000 0.0000
Cd 2.3636 2.4078 0.0000
Cd 2.3636 -2.4078 0.0000
Sn 2.3636 4.7527 2.2822
Sn 2.3636 0.0000 2.2822
Sn 2.3636 -4.7527 2.2822
CELL_PARAMETERS angstrom
2.3636 -7.2245 0.0000
2.3636 7.2245 0.0000
0.0000 0.0000 4.5643
```

Calculated values
The value obtained for the total moment is 0.00 μB per atom. As for the crystal system: orthorhombic. Its symmetry is Cmmm. As for the final energy: -2.847 eV/atom.